Entry from the Alexandria database: a geometry-optimized P2Pt structure (PBE).

Calculated values
Energy of formation, eV per atom: 0.208

Lattice parameters (Å, degrees): 5.8813 5.8813 5.8813 151.01 142.95 47.72
Element x y z (fractional)
P 0.6018 0.6018 0.0000
P 0.3982 0.3982 0.0000
Pt 0.0000 0.0000 0.0000